[1]
The following is a DFT calculation (PBE-GGA) of an optimized crystal structure of ErUTc2.

a = 3.3603 Å, b = 3.3603 Å, c = 6.9233 Å
α = 90.00°, β = 90.00°, γ = 90.00°
Closest atoms and distances in Å follow each position.
Atoms (fractional coordinates):
Er: 0.0000 0.0000 0.0000  8 Tc 3.11, 4 Er 3.36, 2 U 3.46
U: 0.0000 0.0000 0.5000  8 Tc 2.79
Tc: 0.5000 0.5000 0.2901  4 U 2.79, 1 Tc 2.91, 4 Er 3.11
Tc: 0.5000 0.5000 0.7099  4 U 2.79, 1 Tc 2.91, 4 Er 3.11

As for the calculated volume: 19.5 Å³ per atom. The space-group type is P4/mmm. The total energy is -9.3317 eV/atom. The value obtained for the relative energy among the computed polymorphs is 0.000 eV per atom. Its density of states at the Fermi level is 2.5 states/eV/f.u. The calculation puts the formation energy at -17.94 kJ/mol of atoms.


[2]
The following is a DFT calculation (PBE-GGA) of an optimized crystal structure of ScRePb3.

a = 5.5312 Å, b = 5.5312 Å, c = 5.5312 Å
α = 90.00°, β = 90.00°, γ = 90.00°
Closest atoms and distances in Å follow each position.
Atoms (fractional coordinates):
Sc: 0.0000 0.0000 0.0000  6 Pb 2.77
Re: 0.5000 0.5000 0.5000  12 Pb 3.91
Pb: 0.0000 0.0000 0.5000  2 Sc 2.77
Pb: 0.0000 0.5000 0.0000  2 Sc 2.77
Pb: 0.5000 0.0000 0.0000  2 Sc 2.77

As for the calculated volume: 33.8 Å³ per atom. The space-group type is Pm-3m. The total energy is -4.5225 eV/atom. The value obtained for the relative energy among the computed polymorphs is 0.680 eV per atom. Its density of states at the Fermi level is 4.1 states/eV/f.u. The calculation puts the formation energy at 140.72 kJ/mol of atoms.


[3]
The following is a DFT calculation (PBE-GGA) of an optimized crystal structure of BePt3I.

a = 4.9656 Å, b = 4.9656 Å, c = 4.9656 Å
α = 90.00°, β = 90.00°, γ = 90.00°
Closest atoms and distances in Å follow each position.
Atoms (fractional coordinates):
Be: 0.0000 0.0000 0.0000  12 Pt 3.51
Pt: 0.0000 0.5000 0.5000  2 I 2.48
Pt: 0.5000 0.0000 0.5000  2 I 2.48
Pt: 0.5000 0.5000 0.0000  2 I 2.48
I: 0.5000 0.5000 0.5000  6 Pt 2.48

The formation energy from raw total energies is 1.534 eV/atom. As for the calculated volume: 24.5 Å³ per atom. The space-group type is Pm-3m. The total energy is -3.1454 eV/atom. The value obtained for the relative energy among the computed polymorphs is 1.227 eV per atom. Its density of states at the Fermi level is 4.7 states/eV/f.u.


[4]
The following is a DFT calculation (PBE-GGA) of an optimized crystal structure of Dy3InS6.

a = 13.5011 Å, b = 16.5291 Å, c = 3.8543 Å
α = 90.00°, β = 90.00°, γ = 90.00°
Closest atoms and distances in Å follow each position.
Atoms (fractional coordinates):
Dy: 0.0383 0.2247 0.2504  8 S 2.78-2.91
Dy: 0.1898 0.6454 0.2500  7 S 2.73-2.92
Dy: 0.2494 0.8921 0.7502  7 S 2.77-3.04
Dy: 0.2506 0.3921 0.2498  7 S 2.77-3.04
Dy: 0.3102 0.1454 0.7500  7 S 2.73-2.92
Dy: 0.4617 0.7247 0.7496  8 S 2.78-2.91
Dy: 0.5383 0.2753 0.7496  8 S 2.78-2.91
Dy: 0.6898 0.8546 0.7500  7 S 2.73-2.92
Dy: 0.7494 0.6079 0.2498  7 S 2.77-3.04
Dy: 0.7506 0.1079 0.7502  7 S 2.77-3.04
Dy: 0.8102 0.3546 0.2500  7 S 2.73-2.92
Dy: 0.9617 0.7753 0.2504  8 S 2.78-2.91
In: 0.0000 0.0000 0.7518  6 S 2.47-2.75
In: 0.0000 0.5000 0.7496  6 S 2.61-2.63
In: 0.5000 0.0000 0.2504  6 S 2.61-2.63
In: 0.5000 0.5000 0.2482  6 S 2.47-2.75
S: 0.0205 0.3947 0.2498  2 In 2.61, 2 Dy 2.82-2.92
S: 0.0970 0.9119 0.2507  2 In 2.74-2.75, 3 Dy 2.84-2.90
S: 0.1108 0.1188 0.7506  1 In 2.47, 1 Dy 2.73
S: 0.1135 0.7458 0.7501  5 Dy 2.74-3.04
S: 0.1815 0.2861 0.7499  5 Dy 2.77-2.91, 1 S 2.93
S: 0.1934 0.5203 0.7499  1 In 2.63, 2 Dy 2.83
S: 0.3066 0.0203 0.2501  1 In 2.63, 2 Dy 2.83
S: 0.3185 0.7861 0.2501  5 Dy 2.77-2.91, 1 S 2.93
S: 0.3865 0.2458 0.2499  5 Dy 2.74-3.04
S: 0.3892 0.6188 0.2494  1 In 2.47, 1 Dy 2.73
S: 0.4030 0.4119 0.7493  2 In 2.74-2.75, 3 Dy 2.84-2.90
S: 0.4795 0.8947 0.7502  2 In 2.61, 2 Dy 2.82-2.92
S: 0.5205 0.1053 0.7502  2 In 2.61, 2 Dy 2.82-2.92
S: 0.5970 0.5881 0.7493  2 In 2.74-2.75, 3 Dy 2.84-2.90
S: 0.6108 0.3812 0.2494  1 In 2.47, 1 Dy 2.73
S: 0.6135 0.7542 0.2499  5 Dy 2.74-3.04
S: 0.6815 0.2139 0.2501  5 Dy 2.77-2.91, 1 S 2.93
S: 0.6934 0.9797 0.2501  1 In 2.63, 2 Dy 2.83
S: 0.8066 0.4797 0.7499  1 In 2.63, 2 Dy 2.83
S: 0.8185 0.7139 0.7499  5 Dy 2.77-2.91, 1 S 2.93
S: 0.8865 0.2542 0.7501  5 Dy 2.74-3.04
S: 0.8892 0.8812 0.7506  1 In 2.47, 1 Dy 2.73
S: 0.9030 0.0881 0.2507  2 In 2.74-2.75, 3 Dy 2.84-2.90
S: 0.9795 0.6053 0.2498  2 In 2.61, 2 Dy 2.82-2.92

The formation energy from raw total energies is -1.688 eV/atom. As for the calculated volume: 21.5 Å³ per atom. The space-group type is P2_12_12. The total energy is -5.8188 eV/atom. The value obtained for the relative energy among the computed polymorphs is 0.005 eV per atom.


[5]
The following is a DFT calculation (PBE-GGA) of an optimized crystal structure of InCu2Cl.

a = 3.8547 Å, b = 3.2989 Å, c = 6.2483 Å
α = 90.00°, β = 90.07°, γ = 90.00°
Closest atoms and distances in Å follow each position.
Atoms (fractional coordinates):
In: 0.0000 0.0000 0.0000  8 Cu 2.82
Cu: 0.5005 0.5000 0.1958  1 Cu 2.45, 2 Cl 2.52
Cu: 0.4995 0.5000 0.8042  1 Cu 2.45, 2 Cl 2.52
Cl: 0.5000 0.0000 0.5000  4 Cu 2.52

The formation energy from raw total energies is -0.010 eV/atom. As for the calculated volume: 19.9 Å³ per atom. The space-group type is P2/m. The total energy is -3.2047 eV/atom. The value obtained for the relative energy among the computed polymorphs is 0.086 eV per atom. Its density of states at the Fermi level is 1.4 states/eV/f.u.


[6]
The following is a DFT calculation (PBE-GGA) of an optimized crystal structure of PuGa4Pt.

a = 7.6950 Å, b = 7.6950 Å, c = 4.5041 Å
α = 101.78°, β = 101.78°, γ = 58.10°
Closest atoms and distances in Å follow each position.
Atoms (fractional coordinates):
Pu: 0.2504 0.7496 0.7500  12 Ga 3.06-3.17, 2 Pt 3.29
Pu: 0.7496 0.2504 0.2500  12 Ga 3.06-3.17, 2 Pt 3.29
Ga: 0.0605 0.2182 0.8464  3 Ga 2.54-2.56, 1 Pt 2.71
Ga: 0.2182 0.0605 0.3464  3 Ga 2.54-2.56, 1 Pt 2.71
Ga: 0.2811 0.4392 0.1521  3 Ga 2.54-2.56, 1 Pt 2.71
Ga: 0.4392 0.2811 0.6521  3 Ga 2.54-2.56, 1 Pt 2.71
Ga: 0.5608 0.7189 0.3479  3 Ga 2.54-2.56, 1 Pt 2.71
Ga: 0.7189 0.5608 0.8479  3 Ga 2.54-2.56, 1 Pt 2.71
Ga: 0.7818 0.9395 0.6536  3 Ga 2.54-2.56, 1 Pt 2.71
Ga: 0.9395 0.7818 0.1536  3 Ga 2.54-2.56, 1 Pt 2.71
Pt: 0.0000 0.5000 0.5000  8 Ga 2.71-2.87
Pt: 0.5000 0.0000 0.0000  8 Ga 2.71-2.87

As for the calculated volume: 18.3 Å³ per atom. The space-group type is C2/c. The total energy is -5.8049 eV/atom. Its density of states at the Fermi level is 12.9 states/eV/f.u. The calculation puts the formation energy at -37.77 kJ/mol of atoms.


[7]
The following is a DFT calculation (PBE-GGA) of an optimized crystal structure of Tb6Dy5Pu.

a = 7.9016 Å, b = 7.9016 Å, c = 10.0118 Å
α = 90.00°, β = 90.00°, γ = 143.07°
Closest atoms and distances in Å follow each position.
Atoms (fractional coordinates):
Tb: 0.0000 0.0000 0.2479  6 Dy 3.50-3.56, 4 Tb 3.52, 2 Pu 3.52
Tb: 0.0000 0.0000 0.7521  6 Dy 3.50-3.56, 4 Tb 3.52, 2 Pu 3.52
Tb: 0.3349 0.6651 0.2478  1 Pu 3.50, 4 Tb 3.52-3.57, 7 Dy 3.52-3.56
Tb: 0.3349 0.6651 0.7522  1 Pu 3.50, 4 Tb 3.52-3.57, 7 Dy 3.52-3.56
Tb: 0.6651 0.3349 0.2478  1 Pu 3.50, 4 Tb 3.52-3.57, 7 Dy 3.52-3.56
Tb: 0.6651 0.3349 0.7522  1 Pu 3.50, 4 Tb 3.52-3.57, 7 Dy 3.52-3.56
Dy: 0.1645 0.8355 0.0000  8 Tb 3.50-3.56, 2 Pu 3.51, 2 Dy 3.58
Dy: 0.1672 0.8328 0.5000  4 Dy 3.53-3.54, 8 Tb 3.56
Dy: 0.5000 0.5000 0.5000  8 Tb 3.54-3.55, 4 Dy 3.54
Dy: 0.8328 0.1672 0.5000  4 Dy 3.53-3.54, 8 Tb 3.56
Dy: 0.8355 0.1645 0.0000  8 Tb 3.50-3.56, 2 Pu 3.51, 2 Dy 3.58
Pu: 0.5000 0.5000 0.0000  8 Tb 3.50-3.52, 4 Dy 3.51

As for the calculated volume: 31.3 Å³ per atom. The space-group type is Cmmm. The total energy is -5.3848 eV/atom. Its density of states at the Fermi level is 22.3 states/eV/f.u. The calculation puts the formation energy at 4.07 kJ/mol of atoms.


[8]
The following is a DFT calculation (PBE-GGA) of an optimized crystal structure of PmSmAgSn.

a = 7.5690 Å, b = 7.5690 Å, c = 7.5690 Å
α = 90.00°, β = 90.00°, γ = 90.00°
Closest atoms and distances in Å follow each position.
Atoms (fractional coordinates):
Pm: 0.0000 0.0000 0.0000  4 Sn 3.28, 4 Ag 3.28
Pm: 0.0000 0.5000 0.5000  4 Sn 3.28, 4 Ag 3.28
Pm: 0.5000 0.0000 0.5000  4 Sn 3.28, 4 Ag 3.28
Pm: 0.5000 0.5000 0.0000  4 Sn 3.28, 4 Ag 3.28
Sm: 0.0000 0.0000 0.5000  4 Ag 3.28, 4 Sn 3.28
Sm: 0.0000 0.5000 0.0000  4 Ag 3.28, 4 Sn 3.28
Sm: 0.5000 0.0000 0.0000  4 Ag 3.28, 4 Sn 3.28
Sm: 0.5000 0.5000 0.5000  4 Ag 3.28, 4 Sn 3.28
Ag: 0.2500 0.2500 0.7500  4 Pm 3.28, 4 Sm 3.28
Ag: 0.2500 0.7500 0.2500  4 Pm 3.28, 4 Sm 3.28
Ag: 0.7500 0.2500 0.2500  4 Pm 3.28, 4 Sm 3.28
Ag: 0.7500 0.7500 0.7500  4 Pm 3.28, 4 Sm 3.28
Sn: 0.2500 0.2500 0.2500  4 Pm 3.28, 4 Sm 3.28
Sn: 0.2500 0.7500 0.7500  4 Pm 3.28, 4 Sm 3.28
Sn: 0.7500 0.2500 0.7500  4 Pm 3.28, 4 Sm 3.28
Sn: 0.7500 0.7500 0.2500  4 Pm 3.28, 4 Sm 3.28

As for the calculated volume: 27.1 Å³ per atom. The space-group type is F-43m. The total energy is -4.6053 eV/atom. Its density of states at the Fermi level is 4.3 states/eV/f.u. The calculation puts the formation energy at -50.59 kJ/mol of atoms.


Calculated total moment in order - 0.00; 4.08; 0.00; 0.00; 0.00; 10.91; 6.18; 1.45 μB per cell